(1)
DFT (PBE) results for an optimized crystal structure of TaReBiAu.

For the electronic total energy, the calculation gives -7.1864 eV/atom. As for the magnetization: 0.0 μB per formula unit.

It has space group F-43m (No. 216), with a = 6.6660 Å, b = 6.6660 Å, c = 6.6660 Å, α = 90.00°, β = 90.00° and γ = 90.00°. Symmetry generates all atoms from Ta at (0.0000, 0.0000, 0.0000), Re at (0.0000, 0.0000, 0.5000), Bi at (0.2500, 0.2500, 0.7500) and Au at (0.2500, 0.2500, 0.2500).

***

(2)
DFT (PBE) results for an optimized crystal structure of Na2W.

For the electronic total energy, the calculation gives -2.6229 eV/atom. As for the magnetization: 6.0 μB per formula unit.

It has space group Fd-3m (No. 227, origin choice 2), with a = 13.6396 Å, b = 13.6396 Å, c = 13.6396 Å, α = 90.00°, β = 90.00° and γ = 90.00°. Symmetry generates all atoms from Na at (0.0000, 0.0000, 0.0000) and W at (0.1250, 0.1250, 0.1250).

***

(3)
DFT (PBE) results for an optimized crystal structure of CdHgSO.

For the electronic total energy, the calculation gives -3.0122 eV/atom.

It has space group P6_3mc (No. 186), with a = 3.7577 Å, b = 3.7577 Å, c = 12.5424 Å, α = 90.00°, β = 90.00° and γ = 120.00°. Symmetry generates all atoms from Cd at (0.3333, 0.6667, 0.0000), Hg at (0.0000, 0.0000, 0.2355), S at (0.3333, 0.6667, 0.3530) and O at (0.0000, 0.0000, 0.0624).

***

(4)
DFT (PBE) results for an optimized crystal structure of DyScCl6.

For the electronic total energy, the calculation gives -4.9428 eV/atom. As for the magnetization: 0.0 μB per formula unit.

It has space group C2 (No. 5), with a = 6.6328 Å, b = 11.5051 Å, c = 6.4096 Å, α = 90.00°, β = 110.46° and γ = 90.00°. Symmetry generates all atoms from Dy at (0.0000, 0.0000, 0.0000), Sc at (0.0000, 0.3313, 0.0000), Cl at (0.2210, 0.1739, 0.2409), Cl at (0.2304, 0.3402, 0.7638) and Cl at (0.2462, 0.4822, 0.2385).

***

(5)
DFT (PBE) results for an optimized crystal structure of Au.

For the electronic total energy, the calculation gives -3.2604 eV/atom.

It has space group P6_3/mmc (No. 194), with a = 2.9127 Å, b = 2.9127 Å, c = 4.8289 Å, α = 90.00°, β = 90.00° and γ = 120.00°. Symmetry generates all atoms from Au at (0.3333, 0.6667, 0.2500).

***

(6)
DFT (PBE) results for an optimized crystal structure of Sm2Ho2CI2BrCl2.

For the electronic total energy, the calculation gives -5.0158 eV/atom. As for the magnetization: 0.1 μB per formula unit.

It has space group C2/m (No. 12), with a = 17.7925 Å, b = 3.9014 Å, c = 8.3882 Å, α = 90.00°, β = 101.11° and γ = 90.00°. Symmetry generates all atoms from Sm at (0.0051, 0.0000, 0.2988), Ho at (0.1366, 0.5000, 0.5643), C at (0.0000, 0.5000, 0.5000), I at (0.1715, 0.0000, 0.8437), Br at (0.0000, 0.5000, 0.0000) and Cl at (0.1719, 0.0000, 0.3602).

***

(7)
DFT (PBE) results for an optimized crystal structure of Tc2AgGe.

For the electronic total energy, the calculation gives -6.6353 eV/atom. As for the magnetization: 0.1 μB per formula unit.

It has space group F-43m (No. 216), with a = 6.2720 Å, b = 6.2720 Å, c = 6.2720 Å, α = 90.00°, β = 90.00° and γ = 90.00°. Symmetry generates all atoms from Tc at (0.0000, 0.0000, 0.0000), Tc at (0.2500, 0.2500, 0.2500), Ag at (0.2500, 0.2500, 0.7500) and Ge at (0.0000, 0.0000, 0.5000).

***

(8)
DFT (PBE) results for an optimized crystal structure of CsFeC3N3.

For the electronic total energy, the calculation gives -7.8599 eV/atom. As for the magnetization: 0.0 μB per formula unit.

It has space group Fm-3m (No. 225), with a = 9.9412 Å, b = 9.9412 Å, c = 9.9412 Å, α = 90.00°, β = 90.00° and γ = 90.00°. Symmetry generates all atoms from Cs at (0.2500, 0.2500, 0.2500), Fe at (0.0000, 0.0000, 0.0000), Fe at (0.0000, 0.0000, 0.5000), C at (0.0000, 0.0000, 0.1893) and N at (0.0000, 0.0000, 0.3081).